[1]
A plane-wave DFT calculation with PBE was carried out for an optimized crystal structure of Tl3Cd4Bi2.

Unit cell a=9.391 b=5.415 c=10.084 alpha=90.00 beta=90.09 gamma=90.00
Space group C2/m (No. 12)
One atom of each set of equivalent atoms:
Tl (0.000, 0.000, 0.000) [2 per cell]
Tl (0.166, 0.500, 0.577) [4 per cell]
Cd (0.001, 0.000, 0.342) [4 per cell]
Cd (0.166, 0.500, 0.896) [4 per cell]
Bi (0.167, 0.500, 0.213) [4 per cell]

Results
Calculated density ... 9590 kg/m³
ΔH_f (0 K) ... 0.02 eV per atom
Crystal system ... monoclinic
Fermi-level density of states ... 2.435 states/eV/f.u.

---

[2]
A plane-wave DFT calculation with PBE was carried out for an optimized crystal structure of Tl3CdBi.

Unit cell a=3.588 b=10.284 c=8.820 alpha=90.00 beta=90.02 gamma=90.00
Space group P2_1/m (No. 11)
One atom of each set of equivalent atoms:
Tl (0.007, 0.027, 0.198) [4 per cell]
Tl (0.493, 0.750, 0.036) [2 per cell]
Cd (0.489, 0.750, 0.656) [2 per cell]
Bi (0.012, 0.250, 0.627) [2 per cell]

Results
Calculated density ... 9537 kg/m³
ΔH_f (0 K) ... 0.07 eV per atom
Crystal system ... monoclinic
Energy above the most stable polymorph in this dataset ... 30 meV/atom
Fermi-level density of states ... 1.899 states/eV/f.u.